(1)
{
  "formula": "FeAg2Te",
  "functional": "PBE",
  "state": "optimized geometry",
  "sg": "R-3m",
  "energy_ev_per_atom": -3.89,
  "magnetic_moment_mub_per_cell": 3.2,
  "lattice": [[1.519, 0.877, 9.991], [-1.519, 0.877, 9.991], [0.000, -1.754, 9.991]],
  "species": ["Fe", "Ag", "Ag", "Te"],
  "frac_coords": [[0.000, 0.000, 0.000], [0.263, 0.263, 0.263], [0.737, 0.737, 0.737], [0.500, 0.500, 0.500]]
}

(2)
{
  "formula": "NaH3F",
  "functional": "PBE",
  "state": "optimized geometry",
  "sg": "Pm-3m",
  "magnetic_moment_mub_per_cell": 1.3,
  "e_above_lowest_polymorph_ev_per_fu": 0.00,
  "lattice": [[3.710, 0.000, 0.000], [0.000, 3.710, 0.000], [0.000, 0.000, 3.710]],
  "species": ["Na", "H", "H", "H", "F"],
  "frac_coords": [[0.000, 0.000, 0.000], [0.000, 0.500, 0.500], [0.500, 0.000, 0.500], [0.500, 0.500, 0.000], [0.500, 0.500, 0.500]]
}